Record 1
# HoSc3Co2

HoSc3Co2 after structural relaxation (PBE, the Alexandria database).

Cell and atoms, written as POSCAR:
```
HoSc3Co2
1.0
4.6331 0.0000 0.0000
-2.3165 8.1663 -0.4286
0.0000 -4.1049 6.3546
Ho Sc Co
2 6 4
direct
0.8687 0.7375 0.9534 Ho
0.1313 0.2625 0.0466 Ho
0.3162 0.6323 0.6134 Sc
0.9307 0.8614 0.5887 Sc
0.6286 0.2573 0.7440 Sc
0.3714 0.7427 0.2560 Sc
0.0693 0.1386 0.4113 Sc
0.6838 0.3677 0.3866 Sc
0.5010 0.0020 0.8462 Co
0.4990 0.9980 0.1538 Co
0.7715 0.5430 0.1798 Co
0.2285 0.4570 0.8202 Co
```

Results
calculated formation energy = -0.17 eV per atom
symmetry = C2/m (12)


Record 2
# Ho2Sc5Co2

Ho2Sc5Co2 after structural relaxation (PBE, the Alexandria database).

Cell and atoms, written as POSCAR:
```
Ho2Sc5Co2
1.0
6.2128 0.0000 2.2552
0.0000 6.5599 0.0000
-0.0833 0.0000 9.9149
Ho Sc Co
4 10 4
direct
0.2298 0.0000 0.5404 Ho
0.7298 0.5000 0.5404 Ho
0.7702 0.0000 0.4596 Ho
0.2702 0.5000 0.4596 Ho
0.0000 0.0000 0.0000 Sc
0.5000 0.5000 0.0000 Sc
0.4239 0.1772 0.7917 Sc
0.7844 0.8228 0.7917 Sc
0.2844 0.6772 0.7917 Sc
0.9239 0.3228 0.7917 Sc
0.5761 0.8228 0.2083 Sc
0.2156 0.1772 0.2083 Sc
0.7156 0.3228 0.2083 Sc
0.0761 0.6772 0.2083 Sc
0.1200 0.3825 0.0000 Co
0.8800 0.6175 0.0000 Co
0.3800 0.8825 0.0000 Co
0.6200 0.1175 0.0000 Co
```

Results
calculated formation energy = -0.12 eV per atom
symmetry = Cmce (64)


Record 3
# HoSc2Co9

HoSc2Co9 after structural relaxation (PBE, the Alexandria database).

Cell and atoms, written as POSCAR:
```
HoSc2Co9
1.0
-0.2790 -0.7862 4.8120
-3.8912 -2.2742 1.8811
2.2378 -7.9963 1.3016
Ho Sc Co
1 2 9
direct
0.0000 0.0000 0.0000 Ho
0.8589 0.8589 0.4233 Sc
0.1411 0.1411 0.5767 Sc
0.6646 0.6646 0.0062 Co
0.3354 0.3354 0.9938 Co
0.5000 0.5000 0.5000 Co
0.4130 0.4130 0.2520 Co
0.9219 0.4130 0.2520 Co
0.4130 0.9219 0.2520 Co
0.5870 0.5870 0.7480 Co
0.5870 0.0781 0.7480 Co
0.0781 0.5870 0.7480 Co
```

Results
calculated formation energy = -0.26 eV per atom
symmetry = R-3m (166)


Record 4
# Ho2ScCo

Ho2ScCo after structural relaxation (PBE, the Alexandria database).

Cell and atoms, written as POSCAR:
```
Ho2ScCo
1.0
-3.3175 0.6935 -0.5089
-1.5475 -1.0438 -2.8742
-4.1116 -8.7449 3.3464
Sc Co Ho
1 1 2
direct
0.0000 0.0000 0.0000 Sc
0.5000 0.5000 0.5000 Co
0.1085 0.1085 0.6745 Ho
0.8915 0.8915 0.3255 Ho
```

Results
calculated formation energy = 0.22 eV per atom
symmetry = R-3m (166)


Record 5
# HoScTlCo

HoScTlCo after structural relaxation (PBE, the Alexandria database).

Cell and atoms, written as POSCAR:
```
HoScTlCo
1.0
-0.1865 3.9283 -3.0019
-4.3126 2.2799 -0.8256
-0.8135 4.5070 1.8715
Sc Tl Co Ho
1 1 1 1
direct
0.0000 0.0000 0.0000 Sc
0.7500 0.7500 0.7500 Tl
0.2500 0.2500 0.2500 Co
0.5000 0.5000 0.5000 Ho
```

Results
calculated formation energy = -0.13 eV per atom
symmetry = F-43m (216)


Record 6
# HoScTlCo

HoScTlCo after structural relaxation (PBE, the Alexandria database).

Cell and atoms, written as POSCAR:
```
HoScTlCo
1.0
3.2673 0.0000 0.0000
0.0000 3.2673 0.0000
0.0000 0.0000 7.8677
Ho Sc Tl Co
1 1 1 1
direct
0.5000 0.5000 0.7707 Ho
0.5000 0.5000 0.3742 Sc
0.0000 0.0000 0.0882 Tl
0.0000 0.0000 0.5517 Co
```

Results
calculated formation energy = -0.29 eV per atom
symmetry = P4mm (99)


Record 7
# Ho2CoSe

Ho2CoSe after structural relaxation (PBE, the Alexandria database).

Cell and atoms, written as POSCAR:
```
Ho2CoSe
1.0
3.4441 0.0000 0.0000
0.0000 3.4441 0.0000
0.0000 0.0000 7.0346
Co Ho Se
1 2 1
direct
0.5000 0.5000 0.0000 Co
0.0000 0.0000 0.7690 Ho
0.0000 0.0000 0.2310 Ho
0.5000 0.5000 0.5000 Se
```

Results
symmetry = P4/mmm (123)
raw formation energy = -0.769 eV per atom


Record 8
# Ho3CoSe2

Ho3CoSe2 after structural relaxation (PBE, the Alexandria database).

Cell and atoms, written as POSCAR:
```
Ho3CoSe2
1.0
3.7102 0.0000 -1.0512
-0.5995 5.2874 -2.1158
0.0277 -0.2282 7.1711
Ho Co Se
3 1 2
direct
0.3555 0.3555 0.7109 Ho
0.0000 0.0000 0.0000 Ho
0.6445 0.6445 0.2891 Ho
0.0000 0.5000 0.0000 Co
0.6749 0.1749 0.3497 Se
0.3251 0.8251 0.6503 Se
```

Results
symmetry = Immm (71)
raw formation energy = -1.153 eV per atom


Q: Which uncorrected energy values were calculated for the entries above? A: -6.47, -6.23, -7.02, -5.43, -5.23, -5.38, -5.71, -5.79, in eV/atom.